! K2U3MoO12 (PBE with a Hubbard U, relaxed); values from VASP
! * density: 5.3 g/cm3
! * total moment: 2.0 μB/cell
! * total energy: -8.391 eV/atom
&SYSTEM
  ibrav = 0, nat = 18, ntyp = 4
/
ATOMIC_SPECIES
K 39.10 K.upf
U 238.03 U.upf
Mo 95.94 Mo.upf
O 16.00 O.upf
ATOMIC_POSITIONS crystal
K 0.160 0.160 0.160
K 0.840 0.840 0.840
U 0.000 0.500 0.500
U 0.500 0.000 0.500
U 0.500 0.500 0.000
Mo 0.500 0.500 0.500
O 0.181 0.181 0.553
O 0.181 0.553 0.181
O 0.192 0.560 0.560
O 0.440 0.440 0.808
O 0.440 0.808 0.440
O 0.447 0.819 0.819
O 0.553 0.181 0.181
O 0.560 0.192 0.560
O 0.560 0.560 0.192
O 0.808 0.440 0.440
O 0.819 0.447 0.819
O 0.819 0.819 0.447
CELL_PARAMETERS angstrom
3.971 2.292 6.180
-3.971 2.292 6.180
0.000 -4.585 6.180